# KErSe2O8 PBE optimized geometry
# * calculated total energy: -0.4343 Ry/atom
data_KErSe2O8
_chemical_formula_sum 'K1 Er1 Se2 O8'
_cell_length_a 5.483
_cell_length_b 5.483
_cell_length_c 8.275
_cell_angle_alpha 90.00
_cell_angle_beta 90.00
_cell_angle_gamma 120.00
_space_group_name_H-M_alt 'P 1'
_space_group_IT_number 1
loop_
_space_group_symop_operation_xyz
'x,y,z'
loop_
_atom_site_label
_atom_site_type_symbol
_atom_site_fract_x
_atom_site_fract_y
_atom_site_fract_z
O1 O 0.265 0.913 0.668
O2 O 0.667 0.333 0.063
O3 O 0.735 0.087 0.332
O4 O 0.087 0.352 0.668
O5 O 0.913 0.648 0.332
O6 O 0.648 0.735 0.668
O7 O 0.352 0.265 0.332
O8 O 0.333 0.667 0.937
Se1 Se 0.667 0.333 0.262
Se2 Se 0.333 0.667 0.738
K1 K 0.000 0.000 0.000
Er1 Er 0.000 0.000 0.500


# K2ErSe2O6 PBE optimized geometry
# * calculated total energy: -0.4074 Ry/atom
data_K2ErSe2O6
_chemical_formula_sum 'K2 Er1 Se2 O6'
_cell_length_a 6.200
_cell_length_b 5.580
_cell_length_c 7.162
_cell_angle_alpha 107.69
_cell_angle_beta 90.00
_cell_angle_gamma 123.75
_space_group_name_H-M_alt 'P 1'
_space_group_IT_number 1
loop_
_space_group_symop_operation_xyz
'x,y,z'
loop_
_atom_site_label
_atom_site_type_symbol
_atom_site_fract_x
_atom_site_fract_y
_atom_site_fract_z
K1 K 0.301 0.602 0.859
K2 K 0.699 0.398 0.141
O1 O 0.244 0.488 0.451
O2 O 0.768 0.044 0.744
O3 O 0.232 0.956 0.256
O4 O 0.756 0.512 0.549
O5 O 0.276 0.044 0.744
O6 O 0.724 0.956 0.256
Er1 Er 0.500 0.000 0.500
Se1 Se 0.924 0.848 0.760
Se2 Se 0.076 0.152 0.240


# KErSiO4 PBE optimized geometry
# * calculated total energy: -0.5383 Ry/atom
data_KErSiO4
_chemical_formula_sum 'K2 Er2 Si2 O8'
_cell_length_a 5.551
_cell_length_b 5.655
_cell_length_c 7.314
_cell_angle_alpha 90.00
_cell_angle_beta 106.46
_cell_angle_gamma 90.00
_space_group_name_H-M_alt 'P 1'
_space_group_IT_number 1
loop_
_space_group_symop_operation_xyz
'x,y,z'
loop_
_atom_site_label
_atom_site_type_symbol
_atom_site_fract_x
_atom_site_fract_y
_atom_site_fract_z
O1 O 0.948 0.024 0.682
O2 O 0.438 0.750 0.557
O3 O 0.052 0.524 0.318
O4 O 0.436 0.750 0.200
O5 O 0.562 0.250 0.443
O6 O 0.052 0.976 0.318
O7 O 0.948 0.476 0.682
O8 O 0.564 0.250 0.800
Si1 Si 0.750 0.250 0.662
Si2 Si 0.250 0.750 0.338
Er1 Er 0.788 0.750 0.457
Er2 Er 0.212 0.250 0.543
K1 K 0.687 0.750 0.927
K2 K 0.313 0.250 0.073


# K3Er3SiO8 PBE optimized geometry
# * calculated total energy: -0.5010 Ry/atom
data_K3Er3SiO8
_chemical_formula_sum 'K3 Er3 Si1 O8'
_cell_length_a 6.572
_cell_length_b 6.573
_cell_length_c 7.339
_cell_angle_alpha 116.62
_cell_angle_beta 90.00
_cell_angle_gamma 120.00
_space_group_name_H-M_alt 'P 1'
_space_group_IT_number 1
loop_
_space_group_symop_operation_xyz
'x,y,z'
loop_
_atom_site_label
_atom_site_type_symbol
_atom_site_fract_x
_atom_site_fract_y
_atom_site_fract_z
K1 K 0.000 0.500 0.000
K2 K 0.000 0.000 0.000
K3 K 0.500 0.500 0.000
O1 O 0.273 0.545 0.318
O2 O 0.228 0.032 0.337
O3 O 0.196 0.391 0.663
O4 O 0.772 0.968 0.663
O5 O 0.727 0.455 0.682
O6 O 0.804 0.609 0.337
O7 O 0.804 0.032 0.337
O8 O 0.196 0.968 0.663
Si1 Si 0.000 0.000 0.500
Er1 Er 0.500 0.500 0.500
Er2 Er 0.500 0.000 0.500
Er3 Er 0.000 0.500 0.500


# K2ErSi2O6 PBE optimized geometry
# * calculated total energy: -0.5055 Ry/atom
data_K2ErSi2O6
_chemical_formula_sum 'K2 Er1 Si2 O6'
_cell_length_a 5.839
_cell_length_b 5.842
_cell_length_c 6.795
_cell_angle_alpha 115.65
_cell_angle_beta 90.00
_cell_angle_gamma 119.98
_space_group_name_H-M_alt 'P 1'
_space_group_IT_number 1
loop_
_space_group_symop_operation_xyz
'x,y,z'
loop_
_atom_site_label
_atom_site_type_symbol
_atom_site_fract_x
_atom_site_fract_y
_atom_site_fract_z
O1 O 0.758 0.987 0.733
O2 O 0.228 0.987 0.733
O3 O 0.754 0.508 0.721
O4 O 0.246 0.492 0.279
O5 O 0.242 0.013 0.267
O6 O 0.772 0.013 0.267
Er1 Er 0.500 0.000 0.500
Si1 Si 0.070 0.140 0.218
Si2 Si 0.930 0.860 0.782
K1 K 0.713 0.425 0.144
K2 K 0.287 0.575 0.856


# K2Er2SiO6 PBE optimized geometry
# * calculated total energy: -0.5063 Ry/atom
data_K2Er2SiO6
_chemical_formula_sum 'K2 Er2 Si1 O6'
_cell_length_a 5.549
_cell_length_b 5.549
_cell_length_c 6.548
_cell_angle_alpha 97.45
_cell_angle_beta 97.45
_cell_angle_gamma 119.39
_space_group_name_H-M_alt 'P 1'
_space_group_IT_number 1
loop_
_space_group_symop_operation_xyz
'x,y,z'
loop_
_atom_site_label
_atom_site_type_symbol
_atom_site_fract_x
_atom_site_fract_y
_atom_site_fract_z
Si1 Si 0.000 0.000 0.500
O1 O 0.953 0.666 0.337
O2 O 0.226 0.226 0.338
O3 O 0.047 0.334 0.663
O4 O 0.334 0.047 0.663
O5 O 0.774 0.774 0.662
O6 O 0.666 0.953 0.337
Er1 Er 0.666 0.334 0.500
Er2 Er 0.334 0.666 0.500
K1 K 0.838 0.162 0.000
K2 K 0.162 0.838 0.000